#P
Material: YP2PtO
Method: DFT, GGA-PBE
State: relaxed

Structure (POSCAR):
```
YP2PtO
1.0
-2.233 3.935 1.819
-4.007 -2.655 0.823
1.313 -0.887 3.529
Y P O Pt
1 2 1 1
Cartesian
-2.464 0.197 3.086 Y
-2.003 -1.327 0.412 P
-1.117 1.967 0.910 P
0.656 -0.443 1.765 O
0.000 0.000 0.000 Pt
```

## Properties
mass density: 6.5 Mg/m³
size of the total moment: 0.146 μB per atom
space-group type: P4/mmm (123)
crystal system: tetragonal
calculated volume: 92 Å³ per cell


#Q
Material: YP2PtO
Method: DFT, GGA-PBE
State: relaxed

Structure (POSCAR):
```
YP2PtO
1.0
5.326 0.000 0.000
0.000 5.326 0.000
0.000 0.000 4.034
Y P O Pt
1 2 1 1
Cartesian
0.000 0.000 0.000 Y
0.000 2.663 0.000 P
2.663 0.000 0.000 P
0.000 0.000 2.017 O
2.663 2.663 2.017 Pt
```

## Properties
mass density: 5.3 Mg/m³
size of the total moment: 0.039 μB per atom
space-group type: P4/mmm (123)
crystal system: tetragonal
calculated volume: 114 Å³ per cell


Of them, #Q has the lowest stability.


#P
Material: ZrPPtO2
Method: DFT, GGA-PBE
State: relaxed

Structure (POSCAR):
```
ZrPPtO2
1.0
-0.667 3.580 1.657
-3.943 -0.554 -0.390
-0.139 -1.984 4.229
O P Zr Pt
2 1 1 1
Cartesian
-1.972 -0.277 -0.195 O
-0.334 1.790 0.829 O
-0.070 -0.992 2.115 P
-2.375 0.521 2.748 Zr
0.000 0.000 0.000 Pt
```

## Properties
mass density: 7.8 Mg/m³
size of the total moment: 0.000 μB per atom
space-group type: P4/mmm (123)
crystal system: tetragonal
calculated volume: 75 Å³ per cell


#Q
Material: ZrPPtO2
Method: DFT, GGA-PBE
State: relaxed

Structure (POSCAR):
```
ZrPPtO2
1.0
-0.840 1.524 3.543
-2.263 -3.131 0.811
4.618 -2.748 2.277
O P Zr Pt
2 1 1 1
Cartesian
-1.132 -1.566 0.405 O
-0.420 0.762 1.772 O
2.309 -1.374 1.139 P
0.000 0.000 0.000 Zr
0.757 -2.177 3.315 Pt
```

## Properties
mass density: 6.4 Mg/m³
size of the total moment: 0.214 μB per atom
space-group type: P4/mmm (123)
crystal system: tetragonal
calculated volume: 91 Å³ per cell


Of them, #P has the lowest stability.


#P
Material: ZrP2PtO
Method: DFT, GGA-PBE
State: relaxed

Structure (POSCAR):
```
ZrP2PtO
1.0
5.131 0.000 0.000
0.000 5.131 0.000
0.000 0.000 3.892
O P Zr Pt
1 2 1 1
Cartesian
0.000 0.000 1.946 O
0.000 2.565 0.000 P
2.565 0.000 0.000 P
0.000 0.000 0.000 Zr
2.565 2.565 1.946 Pt
```

## Properties
mass density: 5.9 Mg/m³
size of the total moment: 0.000 μB per atom
space-group type: P4/mmm (123)
crystal system: tetragonal
calculated volume: 102 Å³ per cell


#Q
Material: ZrP2PtO
Method: DFT, GGA-PBE
State: relaxed

Structure (POSCAR):
```
ZrP2PtO
1.0
-4.489 -1.394 -0.608
0.577 -3.313 3.340
-1.147 2.517 2.694
O P Zr Pt
1 2 1 1
Cartesian
-0.573 1.258 1.347 O
0.288 -1.656 1.670 P
-2.244 -0.697 -0.304 P
-2.529 -1.095 2.713 Zr
0.000 0.000 0.000 Pt
```

## Properties
mass density: 7.0 Mg/m³
size of the total moment: 0.000 μB per atom
space-group type: P4/mmm (123)
crystal system: tetragonal
calculated volume: 87 Å³ per cell


Of them, #Q has the lowest stability.